1.
VASP calculation (PBE) on a relaxed Ir2OsRu crystal.

Unit cell a=4.6932 b=4.6932 c=2.6993 alpha=90.00 beta=90.00 gamma=90.00
Closest atoms and distances in Å follow each position.
Atoms (fractional coordinates):
Ir 0.5000 0.5000 0.0000  2 Ir 2.70, 4 Os 2.71, 4 Ru 2.71
Ir 0.0000 0.0000 0.0000  2 Ir 2.70, 4 Os 2.71, 4 Ru 2.71
Ru 0.0000 0.5000 0.5000  2 Ru 2.70, 8 Ir 2.71
Os 0.5000 0.0000 0.5000  2 Os 2.70, 8 Ir 2.71

Computed properties:
Formation energy, eV/atom: 0.470
Excess energy over the best structure of this formula in the dataset, meV per atom: 465
Uncorrected energy, eV/atom: -9.09



2.
VASP calculation (PBE) on a relaxed Rb3Tb2TlSe6 crystal.

Unit cell a=7.3906 b=7.3906 c=8.4038 alpha=98.43 beta=98.43 gamma=119.98
Closest atoms and distances in Å follow each position.
Atoms (fractional coordinates):
Se 0.9342 0.5980 0.8027  2 Tb 2.92, 1 Tl 2.95
Se 0.0658 0.4020 0.1973  2 Tb 2.92, 1 Tl 2.95
Se 0.2709 0.2709 0.8027  2 Tb 2.92, 1 Tl 2.95
Se 0.7291 0.7291 0.1973  2 Tb 2.92, 1 Tl 2.95
Se 0.5980 0.9342 0.8027  2 Tb 2.92, 1 Tl 2.95
Se 0.4020 0.0658 0.1973  2 Tb 2.92, 1 Tl 2.95
Rb 0.1653 0.8347 0.5000  6 Se 3.46-3.47
Rb 0.5000 0.5000 0.5000  6 Se 3.45-3.47
Rb 0.8347 0.1653 0.5000  6 Se 3.46-3.47
Tb 0.6668 0.3332 0.0000  6 Se 2.92
Tb 0.3332 0.6668 0.0000  6 Se 2.92
Tl 0.0000 0.0000 0.0000  6 Se 2.95

Computed properties:
Uncorrected energy, eV/atom: -4.28
E_form (uncorrected), eV/atom: -1.3222



3.
VASP calculation (PBE) on a relaxed Y3AlZn crystal.

Unit cell a=5.0642 b=5.0633 c=10.2739 alpha=90.00 beta=75.73 gamma=90.00
Closest atoms and distances in Å follow each position.
Atoms (fractional coordinates):
Y 0.8932 0.7500 0.8619  2 Al 3.11, 2 Zn 3.11
Y 0.2558 0.7500 0.1368  2 Al 3.12, 2 Zn 3.12
Y 0.3926 0.2500 0.8632  2 Al 3.12, 2 Zn 3.12
Y 0.7551 0.2500 0.1381  2 Al 3.11, 2 Zn 3.11
Y 0.0742 0.7500 0.4999  4 Zn 3.10, 4 Al 3.10
Y 0.5741 0.2500 0.5001  4 Zn 3.10, 4 Al 3.10
Al 0.1640 0.2500 0.3203  8 Y 3.10-3.12
Al 0.4843 0.7500 0.6797  8 Y 3.10-3.12
Zn 0.9844 0.2500 0.6796  8 Y 3.10-3.12
Zn 0.6640 0.7500 0.3204  8 Y 3.10-3.12

Computed properties:
Formation energy, eV/atom: -0.314
Excess energy over the best structure of this formula in the dataset, meV per atom: 0
Uncorrected energy, eV/atom: -5.20



4.
VASP calculation (PBE) on a relaxed CoAgBr5 crystal.

Unit cell a=7.4860 b=7.4858 c=9.7147 alpha=108.64 beta=108.67 gamma=95.47
Closest atoms and distances in Å follow each position.
Atoms (fractional coordinates):
Co 0.8956 0.6045 0.2500  4 Br 2.29-2.33
Co 0.1044 0.3955 0.7500  4 Br 2.29-2.33
Br 0.4108 0.0888 0.2499  2 Ag 2.62
Br 0.8369 0.2682 0.1596  1 Co 2.33
Br 0.2320 0.6630 0.3406  1 Co 2.33
Br 0.7680 0.3370 0.6594  1 Co 2.33
Br 0.2319 0.2937 0.9520  1 Co 2.29
Br 0.7937 0.7322 0.4519  1 Co 2.29
Br 0.7681 0.7063 0.0480  1 Co 2.29
Br 0.1631 0.7318 0.8404  1 Co 2.33
Br 0.2063 0.2678 0.5481  1 Co 2.29
Br 0.5892 0.9112 0.7501  2 Ag 2.62
Ag 0.5000 0.0000 0.0000  4 Br 2.62-2.71
Ag 0.5000 0.0000 0.5000  4 Br 2.62-2.71

Computed properties:
Uncorrected energy, eV/atom: -2.82
E_form (uncorrected), eV/atom: -0.2037



5.
VASP calculation (PBE) on a relaxed Zr2HgSe crystal.

Unit cell a=5.2273 b=3.4117 c=5.1431 alpha=79.17 beta=90.00 gamma=90.00
Closest atoms and distances in Å follow each position.
Atoms (fractional coordinates):
Zr 0.5000 0.2052 0.3068  3 Se 2.71-2.93, 2 Hg 2.95
Zr 0.0000 0.9026 0.8927  2 Se 2.62, 3 Hg 2.80-2.91
Se 0.5000 0.8596 0.8741  5 Zr 2.62-2.93
Hg 0.0000 0.5326 0.4265  5 Zr 2.80-2.95

Computed properties:
Excess energy over the best structure of this formula in the dataset, meV per atom: 100
Uncorrected energy, eV/atom: -5.71
E_form (uncorrected), eV/atom: -0.4908



6.
VASP calculation (PBE) on a relaxed TbCeAgOs crystal.

Unit cell a=5.0129 b=5.0129 c=5.0129 alpha=60.00 beta=60.00 gamma=60.00
Closest atoms and distances in Å follow each position.
Atoms (fractional coordinates):
Os 0.7500 0.7500 0.7500  4 Ce 3.07, 4 Tb 3.07
Tb 0.0000 0.0000 0.0000  4 Os 3.07, 4 Ag 3.07
Ce 0.5000 0.5000 0.5000  4 Os 3.07, 4 Ag 3.07
Ag 0.2500 0.2500 0.2500  4 Tb 3.07, 4 Ce 3.07

Computed properties:
Formation energy, eV/atom: -0.150
Uncorrected energy, eV/atom: -6.31



7.
VASP calculation (PBE) on a relaxed MgScCr crystal.

Unit cell a=5.9130 b=5.9130 c=5.9130 alpha=147.68 beta=147.70 gamma=46.34
Closest atoms and distances in Å follow each position.
Atoms (fractional coordinates):
Mg 0.6494 0.6494 0.0000  4 Cr 2.85
Cr 0.9977 0.9977 0.0000  4 Sc 2.81, 4 Mg 2.85
Sc 0.3529 0.3529 0.0000  4 Cr 2.81

Computed properties:
Formation energy, eV/atom: 0.242
Excess energy over the best structure of this formula in the dataset, meV per atom: 0
Uncorrected energy, eV/atom: -5.61



8.
VASP calculation (PBE) on a relaxed Nd2ErSc crystal.

Unit cell a=3.5542 b=3.5542 c=11.6000 alpha=81.19 beta=81.19 gamma=60.00
Closest atoms and distances in Å follow each position.
Atoms (fractional coordinates):
Nd 0.2469 0.2469 0.2593  3 Sc 3.44, 6 Nd 3.55, 3 Er 3.62
Nd 0.0860 0.0860 0.7420  3 Sc 3.43, 6 Nd 3.55, 3 Er 3.57
Sc 0.4998 0.4998 0.5007  6 Nd 3.43-3.44, 6 Sc 3.55
Er 0.6673 0.6673 0.9980  6 Er 3.55, 6 Nd 3.57-3.62

Computed properties:
Formation energy, eV/atom: 0.057
Excess energy over the best structure of this formula in the dataset, meV per atom: 18
Uncorrected energy, eV/atom: -5.05



9.
VASP calculation (PBE) on a relaxed ScSi2TcPb crystal.

Unit cell a=5.0448 b=4.7451 c=5.0448 alpha=90.00 beta=90.00 gamma=90.00
Closest atoms and distances in Å follow each position.
Atoms (fractional coordinates):
Pb 0.5000 0.5000 0.5000  8 Si 3.46, 4 Tc 3.57
Si 0.5000 0.0000 0.0000  2 Sc 2.52
Si 0.0000 0.0000 0.5000  2 Sc 2.52
Sc 0.0000 0.0000 0.0000  2 Tc 2.37, 4 Si 2.52
Tc 0.0000 0.5000 0.0000  2 Sc 2.37

Computed properties:
Uncorrected energy, eV/atom: -5.18
E_form (uncorrected), eV/atom: 1.0750



10.
VASP calculation (PBE) on a relaxed ScAlSb2 crystal.

Unit cell a=5.1561 b=5.1561 c=5.1561 alpha=60.00 beta=60.00 gamma=60.00
Closest atoms and distances in Å follow each position.
Atoms (fractional coordinates):
Sc 0.7500 0.7500 0.7500  4 Sb 3.16, 4 Al 3.16
Sb 0.2500 0.2500 0.2500  4 Sb 3.16, 4 Al 3.16
Sb 0.0000 0.0000 0.0000  4 Sb 3.16, 4 Sc 3.16
Al 0.5000 0.5000 0.5000  4 Sc 3.16, 4 Sb 3.16

Computed properties:
Excess energy over the best structure of this formula in the dataset, meV per atom: 462
Uncorrected energy, eV/atom: -4.53
E_form (uncorrected), eV/atom: 0.0469



11.
VASP calculation (PBE) on a relaxed Ba6Ag2HN crystal.

Unit cell a=7.7755 b=8.2691 c=11.1107 alpha=90.00 beta=89.86 gamma=90.00
Closest atoms and distances in Å follow each position.
Atoms (fractional coordinates):
Ba 0.3168 0.7101 0.4549  1 N 2.83, 1 H 3.05
Ba 0.2070 0.1845 0.4542  1 N 2.79, 1 H 3.11
Ba 0.5896 0.0193 0.2605  1 N 2.75, 1 H 2.98
Ba 0.2930 0.6845 0.0458  1 N 2.79, 1 H 3.11
Ba 0.9104 0.5193 0.2395  1 N 2.75, 1 H 2.98
Ba 0.7930 0.8155 0.5458  1 N 2.79, 1 H 3.11
Ba 0.8168 0.7899 0.9549  1 N 2.83, 1 H 3.05
Ba 0.6832 0.2899 0.5451  1 N 2.83, 1 H 3.05
Ba 0.7070 0.3155 0.9542  1 N 2.79, 1 H 3.11
Ba 0.0896 0.4807 0.7605  1 N 2.75, 1 H 2.98
Ba 0.4104 0.9807 0.7395  1 N 2.75, 1 H 2.98
Ba 0.1832 0.2101 0.0451  1 N 2.83, 1 H 3.05
H 0.5000 0.0000 0.0000  6 Ba 2.98-3.11
H 0.0000 0.5000 0.5000  6 Ba 2.98-3.11
Ag 0.5302 0.5761 0.7497  6 Ba 3.42-3.65
Ag 0.4698 0.4239 0.2503  6 Ba 3.42-3.65
Ag 0.0302 0.9239 0.2497  6 Ba 3.42-3.65
Ag 0.9698 0.0761 0.7503  6 Ba 3.42-3.65
N 0.5000 0.0000 0.5000  6 Ba 2.75-2.83
N 0.0000 0.5000 0.0000  6 Ba 2.75-2.83

Computed properties:
Uncorrected energy, eV/atom: -3.18



12.
VASP calculation (PBE) on a relaxed TaCdTc2 crystal.

Unit cell a=5.0415 b=5.0415 c=5.0415 alpha=133.65 beta=133.65 gamma=67.63
Closest atoms and distances in Å follow each position.
Atoms (fractional coordinates):
Tc 0.2500 0.7500 0.5000  4 Ta 2.81, 4 Cd 2.88, 4 Tc 2.88
Tc 0.0000 0.0000 0.0000  4 Cd 2.81, 4 Ta 2.88, 4 Tc 2.88
Cd 0.5000 0.5000 0.0000  8 Tc 2.81-2.88, 4 Ta 2.88
Ta 0.7500 0.2500 0.5000  8 Tc 2.81-2.88, 4 Cd 2.88

Computed properties:
Formation energy, eV/atom: 0.280
Uncorrected energy, eV/atom: -8.10



13.
VASP calculation (PBE) on a relaxed Ge3RhBr crystal.

Unit cell a=5.0279 b=5.0279 c=5.0279 alpha=90.00 beta=90.00 gamma=90.00
Closest atoms and distances in Å follow each position.
Atoms (fractional coordinates):
Rh 0.5000 0.5000 0.5000  12 Ge 3.56
Ge 0.0000 0.0000 0.5000  2 Br 2.51
Ge 0.0000 0.5000 0.0000  2 Br 2.51
Ge 0.5000 0.0000 0.0000  2 Br 2.51
Br 0.0000 0.0000 0.0000  6 Ge 2.51

Computed properties:
Excess energy over the best structure of this formula in the dataset, meV per atom: 1283
Uncorrected energy, eV/atom: -3.25
E_form (uncorrected), eV/atom: 1.3244



14.
VASP calculation (PBE) on a relaxed LaPmGeCl crystal.

Unit cell a=5.2059 b=5.2059 c=5.2059 alpha=60.00 beta=60.00 gamma=60.00
Closest atoms and distances in Å follow each position.
Atoms (fractional coordinates):
La 0.2500 0.2500 0.2500  4 Ge 3.19, 4 Cl 3.19
Pm 0.7500 0.7500 0.7500  4 Ge 3.19, 4 Cl 3.19
Ge 0.5000 0.5000 0.5000  4 La 3.19, 4 Pm 3.19
Cl 0.0000 0.0000 0.0000  4 La 3.19, 4 Pm 3.19

Computed properties:
Excess energy over the best structure of this formula in the dataset, meV per atom: 0
Uncorrected energy, eV/atom: -5.14
E_form (uncorrected), eV/atom: -1.1077



15.
VASP calculation (PBE) on a relaxed BaPr2Cu2Ge2 crystal.

Unit cell a=4.5003 b=4.5003 c=10.5781 alpha=77.72 beta=77.72 gamma=60.00
Closest atoms and distances in Å follow each position.
Atoms (fractional coordinates):
Pr 0.1293 0.1293 0.6121  3 Ge 3.01, 3 Cu 3.02
Pr 0.8707 0.8707 0.3879  3 Ge 3.01, 3 Cu 3.02
Ge 0.2532 0.2532 0.2405  3 Cu 2.60
Ge 0.7468 0.7468 0.7595  3 Cu 2.60
Ba 0.0000 0.0000 0.0000  6 Cu 3.57, 6 Ge 3.58, 2 Pr 3.98
Cu 0.4127 0.4127 0.7618  3 Ge 2.60
Cu 0.5873 0.5873 0.2382  3 Ge 2.60

Computed properties:
Formation energy, eV/atom: -0.426
Uncorrected energy, eV/atom: -4.56



16.
VASP calculation (PBE) on a relaxed ScS2NCl crystal.

Unit cell a=4.3423 b=4.3423 c=4.0889 alpha=90.00 beta=90.00 gamma=90.00
Closest atoms and distances in Å follow each position.
Atoms (fractional coordinates):
S 0.5000 0.0000 0.0000  2 N 2.17
S 0.0000 0.5000 0.0000  2 N 2.17
Cl 0.0000 0.0000 0.5000  2 N 2.04
N 0.0000 0.0000 0.0000  2 Cl 2.04, 4 S 2.17
Sc 0.5000 0.5000 0.5000  8 S 2.98, 4 Cl 3.07

Computed properties:
Excess energy over the best structure of this formula in the dataset, meV per atom: 0
Uncorrected energy, eV/atom: -4.78
E_form (uncorrected), eV/atom: 0.1712



17.
VASP calculation (PBE) on a relaxed LiMg4Pb7 crystal.

Unit cell a=5.3822 b=9.0463 c=7.8868 alpha=79.64 beta=70.05 gamma=72.69
Closest atoms and distances in Å follow each position.
Atoms (fractional coordinates):
Pb 0.0724 0.6785 0.1766  1 Li 2.96, 5 Mg 3.08-3.24
Pb 0.3483 0.5905 0.7128  5 Mg 3.04-3.32
Pb 0.6517 0.4095 0.2872  5 Mg 3.04-3.32
Pb 0.9276 0.3215 0.8234  1 Li 2.96, 5 Mg 3.08-3.24
Pb 0.2166 0.1346 0.4323  4 Mg 3.13-3.24, 2 Pb 3.44-3.50
Pb 0.7834 0.8654 0.5677  4 Mg 3.13-3.24, 2 Pb 3.44-3.50
Pb 0.5000 0.0000 0.0000  2 Li 2.69
Mg 0.7034 0.6559 0.9373  8 Pb 3.05-3.24, 1 Mg 3.35
Mg 0.2966 0.3441 0.0627  8 Pb 3.05-3.24, 1 Mg 3.35
Mg 0.4322 0.7849 0.3508  8 Pb 3.04-3.32, 1 Mg 3.35
Mg 0.5678 0.2151 0.6492  8 Pb 3.04-3.32, 1 Mg 3.35
Li 0.0000 0.0000 0.0000  4 Pb 2.69-2.96

Computed properties:
Formation energy, eV/atom: -0.009
Uncorrected energy, eV/atom: -2.86



18.
VASP calculation (PBE) on a relaxed AcNdYGa crystal.

Unit cell a=5.5536 b=5.5536 c=5.5536 alpha=60.00 beta=60.00 gamma=60.00
Closest atoms and distances in Å follow each position.
Atoms (fractional coordinates):
Y 0.7500 0.7500 0.7500  4 Ga 3.40, 4 Ac 3.40
Ac 0.0000 0.0000 0.0000  4 Nd 3.40, 4 Y 3.40
Nd 0.2500 0.2500 0.2500  4 Ac 3.40, 4 Ga 3.40
Ga 0.5000 0.5000 0.5000  4 Y 3.40, 4 Nd 3.40

Computed properties:
Formation energy, eV/atom: 0.021
Uncorrected energy, eV/atom: -4.57



19.
VASP calculation (PBE) on a relaxed CdI2O2 crystal.

Unit cell a=6.0129 b=6.0129 c=4.0793 alpha=90.00 beta=90.00 gamma=90.00
Closest atoms and distances in Å follow each position.
Atoms (fractional coordinates):
I 0.0000 0.5000 0.0000  2 Cd 3.01
I 0.5000 0.0000 0.0000  2 Cd 3.01
O 0.5000 0.5000 0.5000  8 I 3.63
O 0.0000 0.0000 0.5000  2 Cd 2.04
Cd 0.0000 0.0000 0.0000  2 O 2.04

Computed properties:
Excess energy over the best structure of this formula in the dataset, meV per atom: 746
Uncorrected energy, eV/atom: -2.06
E_form (uncorrected), eV/atom: 0.7301



20.
VASP calculation (PBE) on a relaxed ZnCdO2 crystal.

Unit cell a=3.2835 b=3.2835 c=5.6554 alpha=90.00 beta=90.00 gamma=120.00
Closest atoms and distances in Å follow each position.
Atoms (fractional coordinates):
O 0.6667 0.3333 0.2264  3 Cd 2.26, 3 Zn 2.41
O 0.3333 0.6667 0.8233  3 Zn 2.05, 1 Cd 2.15
Cd 0.3333 0.6667 0.4427  4 O 2.15-2.26
Zn 0.0000 0.0000 0.9626  3 O 2.05

Computed properties:
Uncorrected energy, eV/atom: -4.10
E_form (uncorrected), eV/atom: -1.0688